First-principles (PBE) data for crystalline Mn2BWC at its relaxed geometry, as listed in Alexandria.

**Formation energy from the elements**: 15.91 kcal/mol of atoms
**D(E_F)**: 0.54 states/eV/atom
**Total magnetic moment**: 1.987 Bohr magnetons per cell

Unit cell a=3.6359 b=3.6359 c=4.0371 alpha=90.00 beta=90.00 gamma=90.00
Closest atoms and distances in Å follow each position.
Fractional positions:
Mn 0.0000 0.5000 0.0000  2 C 1.82
Mn 0.5000 0.0000 0.0000  2 C 1.82
B 0.0000 0.0000 0.5000  2 C 2.02
W 0.5000 0.5000 0.5000  4 B 2.57, 8 Mn 2.72
C 0.0000 0.0000 0.0000  4 Mn 1.82, 2 B 2.02

---

First-principles (PBE) data for crystalline LiTbTm2Pt4 at its relaxed geometry, as listed in Alexandria.

**Formation energy from the elements**: -25.52 kcal/mol of atoms
**D(E_F)**: 0.52 states/eV/atom
**Total magnetic moment**: 0.000 Bohr magnetons per cell

Unit cell a=8.2902 b=8.2902 c=8.2902 alpha=33.70 beta=33.70 gamma=33.70
Closest atoms and distances in Å follow each position.
Fractional positions:
Li 0.0000 0.0000 0.0000  8 Pt 2.91-2.96
Tb 0.5000 0.5000 0.5000  8 Pt 2.87-2.95
Tm 0.2575 0.2575 0.2575  8 Pt 2.81-3.12
Tm 0.7425 0.7425 0.7425  8 Pt 2.81-3.12
Pt 0.1242 0.1242 0.1242  1 Li 2.91, 3 Tb 2.95, 4 Tm 3.00-3.12
Pt 0.3775 0.3775 0.3775  4 Tm 2.81-2.87, 1 Tb 2.87, 3 Li 2.96
Pt 0.6225 0.6225 0.6225  4 Tm 2.81-2.87, 1 Tb 2.87, 3 Li 2.96
Pt 0.8758 0.8758 0.8758  1 Li 2.91, 3 Tb 2.95, 4 Tm 3.00-3.12

---

First-principles (PBE) data for crystalline Li2TmThHg4 at its relaxed geometry, as listed in Alexandria.

**Formation energy from the elements**: -8.16 kcal/mol of atoms
**D(E_F)**: 0.59 states/eV/atom
**Total magnetic moment**: 0.000 Bohr magnetons per cell

Unit cell a=8.9354 b=8.9354 c=8.9354 alpha=32.62 beta=32.62 gamma=32.62
Closest atoms and distances in Å follow each position.
Fractional positions:
Li 0.2468 0.2468 0.2468  7 Hg 3.04-3.07
Li 0.7532 0.7532 0.7532  7 Hg 3.04-3.07
Tm 0.5000 0.5000 0.5000  8 Hg 3.00-3.07
Th 0.0000 0.0000 0.0000  8 Hg 3.15-3.22
Hg 0.1268 0.1268 0.1268  4 Li 3.04-3.07, 3 Tm 3.07, 1 Th 3.22
Hg 0.3817 0.3817 0.3817  1 Tm 3.00, 3 Li 3.05, 3 Th 3.15
Hg 0.6183 0.6183 0.6183  1 Tm 3.00, 3 Li 3.05, 3 Th 3.15
Hg 0.8732 0.8732 0.8732  4 Li 3.04-3.07, 3 Tm 3.07, 1 Th 3.22

---

First-principles (PBE) data for crystalline Ac2NdSm2Y at its relaxed geometry, as listed in Alexandria.

**Formation energy from the elements**: 1.78 kcal/mol of atoms
**D(E_F)**: 1.68 states/eV/atom
**Total magnetic moment**: 0.000 Bohr magnetons per cell

Unit cell a=5.9322 b=10.1964 c=7.3825 alpha=90.00 beta=90.00 gamma=90.00
Closest atoms and distances in Å follow each position.
Fractional positions:
Ac 0.0000 0.0004 0.0000  6 Ac 3.69-3.92, 2 Nd 3.89, 6 Sm 3.92-4.00
Ac 0.0000 0.9996 0.5000  6 Ac 3.69-3.92, 2 Nd 3.89, 6 Sm 3.92-4.00
Ac 0.5000 0.1743 0.2503  5 Sm 3.45-3.69, 2 Y 3.80
Ac 0.5000 0.8257 0.7503  5 Sm 3.45-3.69, 2 Y 3.80
Nd 0.0000 0.3360 0.7493  3 Sm 3.23-3.39
Nd 0.0000 0.6640 0.2493  3 Sm 3.23-3.39
Sm 0.0000 0.3472 0.2495  1 Nd 3.23, 2 Ac 3.45
Sm 0.0000 0.6528 0.7495  1 Nd 3.23, 2 Ac 3.45
Sm 0.5000 0.1759 0.7500  2 Nd 3.39, 3 Ac 3.57-3.69, 2 Y 3.78-3.79
Sm 0.5000 0.8241 0.2500  2 Nd 3.39, 3 Ac 3.57-3.69, 2 Y 3.78-3.79
Y 0.5000 0.4999 0.9996  2 Y 3.69, 6 Sm 3.78-3.83, 2 Ac 3.80, 4 Nd 3.87
Y 0.5000 0.5001 0.4996  2 Y 3.69, 6 Sm 3.78-3.83, 2 Ac 3.80, 4 Nd 3.87

---

First-principles (PBE) data for crystalline Mg2ZnSi at its relaxed geometry, as listed in Alexandria.

**D(E_F)**: 0.41 states/eV/atom
**Energy relative to the elements, uncorrected**: 0.67 eV/f.u.
**Total magnetic moment**: 0.000 Bohr magnetons per cell

Unit cell a=4.7122 b=4.7122 c=4.7122 alpha=60.00 beta=60.00 gamma=60.00
Closest atoms and distances in Å follow each position.
Fractional positions:
Mg 0.0000 0.0000 0.0000  4 Mg 2.89, 4 Si 2.89
Mg 0.2500 0.2500 0.2500  4 Zn 2.89, 4 Mg 2.89
Zn 0.5000 0.5000 0.5000  4 Mg 2.89, 4 Si 2.89
Si 0.7500 0.7500 0.7500  4 Zn 2.89, 4 Mg 2.89

---

First-principles (PBE) data for crystalline ZnCr2S4 at its relaxed geometry, as listed in Alexandria.

**D(E_F)**: 0.28 states/eV/atom
**Energy relative to the elements, uncorrected**: -4.18 eV/f.u.
**Total magnetic moment**: 12.000 Bohr magnetons per cell

Unit cell a=7.0090 b=7.0090 c=7.0090 alpha=119.29 beta=118.13 gamma=92.25
Closest atoms and distances in Å follow each position.
Fractional positions:
Zn 0.0000 0.0000 0.0000  6 S 2.43-2.61
Zn 0.5000 0.0000 0.5000  6 S 2.43-2.61
Cr 0.0000 0.5000 0.5000  6 S 2.44-2.45
Cr 0.5000 0.0000 0.0000  6 S 2.39-2.40
Cr 0.5000 0.5000 0.0000  6 S 2.44-2.45
Cr 0.5000 0.5000 0.5000  6 S 2.39-2.40
S 0.2546 0.2710 0.5164  3 Cr 2.39-2.45, 2 Zn 2.61
S 0.2546 0.7382 0.9836  3 Cr 2.39-2.45, 2 Zn 2.61
S 0.2740 0.2496 0.0244  3 Cr 2.40-2.44, 1 Zn 2.43
S 0.2748 0.7504 0.5244  3 Cr 2.40-2.44, 1 Zn 2.43
S 0.7252 0.2496 0.4756  3 Cr 2.40-2.44, 1 Zn 2.43
S 0.7260 0.7504 0.9756  3 Cr 2.40-2.44, 1 Zn 2.43
S 0.7454 0.2618 0.0164  3 Cr 2.39-2.45, 2 Zn 2.61
S 0.7454 0.7290 0.4836  3 Cr 2.39-2.45, 2 Zn 2.61